Density functional theory data (GGA-PBE) for AlH2Rh2 after structural relaxation.

Cell: 5.9070 5.9070 2.9366 Å, 90.00 90.00 90.00°
Positions (direct):
1 Al 0.0000 0.0000 0.0000
2 Al 0.5000 0.5000 0.0000
3 H 0.1297 0.3703 0.0000
4 H 0.3703 0.8703 0.0000
5 H 0.6297 0.1297 0.0000
6 H 0.8703 0.6297 0.0000
7 Rh 0.2418 0.2582 0.5000
8 Rh 0.2582 0.7582 0.5000
9 Rh 0.7418 0.2418 0.5000
10 Rh 0.7582 0.7418 0.5000

Summary:
The space-group type is No. 127. The total magnetization comes out at 0.0000 μB per atom. The calculation puts the total energy at -5.31 eV per atom. For the density of states at the Fermi level, the calculation gives 2.50 states/eV per cell. As for the crystal system: tetragonal. For the calculated volume, the calculation gives 102.5 Å³/cell.

Density functional theory data (GGA-PBE) for Be2BPt8 after structural relaxation.

Cell: 8.0312 8.0312 5.5282 Å, 95.04 95.04 25.34°
Positions (direct):
1 Be 0.1727 0.1727 0.2329
2 Be 0.8273 0.8273 0.7671
3 B 0.5000 0.5000 0.5000
4 Pt 0.0116 0.0116 0.2584
5 Pt 0.2268 0.2268 0.8014
6 Pt 0.3650 0.3650 0.5009
7 Pt 0.3942 0.3942 0.0210
8 Pt 0.6058 0.6058 0.9790
9 Pt 0.6350 0.6350 0.4991
10 Pt 0.7732 0.7732 0.1986
11 Pt 0.9884 0.9884 0.7416

Summary:
The space-group type is No. 12. The total magnetization comes out at 0.0000 μB per atom. For the density of states at the Fermi level, the calculation gives 7.29 states/eV per cell. As for the crystal system: monoclinic. For the energy relative to the elements, the calculation gives -318 meV per atom. For the calculated volume, the calculation gives 152.0 Å³/cell.